No. 1
TmAgPb: relaxed, PBE-GGA.

Output
E_tot = -3.89 eV per atom
SG = Pnma, No. 62

Lattice parameters (Å, degrees): 7.7504 3.5603 10.6766 90.00 90.00 90.00
With the nearest neighbours (Å) after each atom.
Fractional positions:
1 Ag 0.9099 0.7500 0.0917  2 Ag 2.99, 3 Tm 3.10-3.12, 4 Pb 3.17-3.18
2 Ag 0.4099 0.7500 0.4083  2 Ag 2.99, 3 Tm 3.10-3.12, 4 Pb 3.17-3.18
3 Ag 0.5901 0.2500 0.5917  2 Ag 2.99, 3 Tm 3.10-3.12, 4 Pb 3.17-3.18
4 Ag 0.0901 0.2500 0.9083  2 Ag 2.99, 3 Tm 3.10-3.12, 4 Pb 3.17-3.18
5 Pb 0.6119 0.2500 0.2107  4 Ag 3.17-3.18, 5 Tm 3.19-3.24
6 Pb 0.1119 0.2500 0.2893  4 Ag 3.17-3.18, 5 Tm 3.19-3.24
7 Pb 0.8881 0.7500 0.7107  4 Ag 3.17-3.18, 5 Tm 3.19-3.24
8 Pb 0.3881 0.7500 0.7893  4 Ag 3.17-3.18, 5 Tm 3.19-3.24
9 Tm 0.3104 0.7500 0.0871  3 Ag 3.10-3.12, 5 Pb 3.19-3.24
10 Tm 0.8104 0.7500 0.4129  3 Ag 3.10-3.12, 5 Pb 3.19-3.24
11 Tm 0.1896 0.2500 0.5871  3 Ag 3.10-3.12, 5 Pb 3.19-3.24
12 Tm 0.6896 0.2500 0.9129  3 Ag 3.10-3.12, 5 Pb 3.19-3.24



No. 2
TmAgPb: relaxed, PBE-GGA.

Output
E_tot = -3.94 eV per atom
SG = P-62m, No. 189

Lattice parameters (Å, degrees): 7.7616 7.7616 4.2144 90.00 90.00 120.00
With the nearest neighbours (Å) after each atom.
Fractional positions:
1 Ag 0.6667 0.3333 0.0000  3 Pb 2.88, 6 Tm 3.18
2 Ag 0.3333 0.6667 0.0000  3 Pb 2.88, 6 Tm 3.18
3 Ag 0.0000 0.0000 0.5000  6 Pb 2.96, 3 Tm 3.08
4 Pb 0.2677 0.0000 0.0000  4 Ag 2.88-2.96
5 Pb 0.0000 0.2677 0.0000  4 Ag 2.88-2.96
6 Pb 0.7323 0.7323 0.0000  4 Ag 2.88-2.96
7 Tm 0.6026 0.0000 0.5000  5 Ag 3.08-3.18, 6 Pb 3.35-3.44
8 Tm 0.3974 0.3974 0.5000  5 Ag 3.08-3.18, 6 Pb 3.35-3.44
9 Tm 0.0000 0.6026 0.5000  5 Ag 3.08-3.18, 6 Pb 3.35-3.44



No. 3
TmAgPb: relaxed, PBE-GGA.

Output
E_tot = -4.01 eV per atom
SG = P-62m, No. 189

Lattice parameters (Å, degrees): 7.4423 7.4423 4.5432 90.00 90.00 120.00
With the nearest neighbours (Å) after each atom.
Fractional positions:
1 Ag 0.2452 0.0000 0.0000  4 Pb 2.87-2.91, 2 Ag 3.16
2 Ag 0.0000 0.2452 0.0000  4 Pb 2.87-2.91, 2 Ag 3.16
3 Ag 0.7548 0.7548 0.0000  4 Pb 2.87-2.91, 2 Ag 3.16
4 Pb 0.6667 0.3333 0.0000  3 Ag 2.87, 6 Tm 3.17
5 Pb 0.3333 0.6667 0.0000  3 Ag 2.87, 6 Tm 3.17
6 Pb 0.0000 0.0000 0.5000  6 Ag 2.91, 3 Tm 3.22
7 Tm 0.5671 0.0000 0.5000  5 Pb 3.17-3.22, 2 Ag 3.30
8 Tm 0.4329 0.4329 0.5000  5 Pb 3.17-3.22, 2 Ag 3.30
9 Tm 0.0000 0.5671 0.5000  5 Pb 3.17-3.22, 2 Ag 3.30



No. 4
TmAgPb: relaxed, PBE-GGA.

Output
E_tot = -3.81 eV per atom
SG = P-62m, No. 189

Lattice parameters (Å, degrees): 8.4573 8.4573 3.5955 90.00 90.00 120.00
With the nearest neighbours (Å) after each atom.
Fractional positions:
1 Ag 0.6346 0.0000 0.0000  5 Pb 3.09-3.24, 6 Tm 3.36-3.38
2 Ag 0.3654 0.3654 0.0000  5 Pb 3.09-3.24, 6 Tm 3.36-3.38
3 Ag 0.0000 0.6346 0.0000  5 Pb 3.09-3.24, 6 Tm 3.36-3.38
4 Pb 0.0000 0.0000 0.0000  6 Tm 3.08, 3 Ag 3.09
5 Pb 0.6667 0.3333 0.5000  3 Tm 2.99, 6 Ag 3.24
6 Pb 0.3333 0.6667 0.5000  3 Tm 2.99, 6 Ag 3.24
7 Tm 0.2958 0.0000 0.5000  4 Pb 2.99-3.08
8 Tm 0.0000 0.2958 0.5000  4 Pb 2.99-3.08
9 Tm 0.7042 0.7042 0.5000  4 Pb 2.99-3.08



No. 5
YTmAg2Pb2: relaxed, PBE-GGA.

Output
E_tot = -4.39 eV per atom
SG = P3m1, No. 156

Lattice parameters (Å, degrees): 4.7993 4.7993 7.4304 90.00 90.00 120.00
With the nearest neighbours (Å) after each atom.
Fractional positions:
1 Ag 0.6667 0.3333 0.1746  4 Pb 2.86-2.98, 3 Tm 3.08
2 Ag 0.3333 0.6667 0.6803  4 Pb 2.86-3.04, 3 Y 3.10
3 Pb 0.3333 0.6667 0.2706  4 Ag 2.86-3.04
4 Pb 0.6667 0.3333 0.7741  4 Ag 2.86-2.98
5 Tm 0.0000 0.0000 0.9935  3 Ag 3.08, 3 Pb 3.22
6 Y 0.0000 0.0000 0.4928  3 Ag 3.10, 6 Pb 3.23-3.47



No. 6
AgPb5W3: relaxed, PBE-GGA.

Output
E_tot = -6.08 eV per atom
SG = P6/mmm, No. 191

Lattice parameters (Å, degrees): 5.5853 5.5853 8.8422 90.00 90.00 120.00
With the nearest neighbours (Å) after each atom.
Fractional positions:
1 Ag 0.0000 0.0000 0.0000  12 Pb 3.70
2 Pb 0.6667 0.3333 0.2051  3 W 3.07, 3 Pb 3.22
3 Pb 0.3333 0.6667 0.2051  3 W 3.07, 3 Pb 3.22
4 Pb 0.0000 0.0000 0.5000  6 W 2.79
5 Pb 0.6667 0.3333 0.7949  3 W 3.07, 3 Pb 3.22
6 Pb 0.3333 0.6667 0.7949  3 W 3.07, 3 Pb 3.22
7 W 0.5000 0.0000 0.5000  4 W 2.79, 6 Pb 2.79-3.07
8 W 0.0000 0.5000 0.5000  6 Pb 2.79-3.07, 4 W 2.79
9 W 0.5000 0.5000 0.5000  4 W 2.79, 6 Pb 2.79-3.07



No. 7
AgPbW2: relaxed, PBE-GGA.

Output
E_tot = -7.09 eV per atom
SG = F-43m, No. 216

Lattice parameters (Å, degrees): 4.7059 4.7059 4.7059 60.00 60.00 60.00
With the nearest neighbours (Å) after each atom.
Fractional positions:
1 Ag 0.2500 0.2500 0.2500  4 W 2.88, 4 Pb 2.88
2 Pb 0.5000 0.5000 0.5000  4 W 2.88, 4 Ag 2.88
3 W 0.0000 0.0000 0.0000  4 Ag 2.88, 4 W 2.88
4 W 0.7500 0.7500 0.7500  4 Pb 2.88, 4 W 2.88



No. 8
Ag2PbW: relaxed, PBE-GGA.

Output
E_tot = -4.68 eV per atom
SG = F-43m, No. 216

Lattice parameters (Å, degrees): 4.7598 4.7598 4.7598 60.00 60.00 60.00
With the nearest neighbours (Å) after each atom.
Fractional positions:
1 Ag 0.0000 0.0000 0.0000  4 Ag 2.91, 4 W 2.91
2 Ag 0.7500 0.7500 0.7500  4 Ag 2.91, 4 Pb 2.91
3 Pb 0.5000 0.5000 0.5000  4 W 2.91, 4 Ag 2.91
4 W 0.2500 0.2500 0.2500  4 Pb 2.91, 4 Ag 2.91



No. 9
AgPb2W: relaxed, PBE-GGA.

Output
E_tot = -4.69 eV per atom
SG = F-43m, No. 216

Lattice parameters (Å, degrees): 5.0818 5.0818 5.0818 60.00 60.00 60.00
With the nearest neighbours (Å) after each atom.
Fractional positions:
1 Ag 0.5000 0.5000 0.5000  4 W 3.11, 4 Pb 3.11
2 Pb 0.0000 0.0000 0.0000  4 Pb 3.11, 4 W 3.11
3 Pb 0.2500 0.2500 0.2500  4 Ag 3.11, 4 Pb 3.11
4 W 0.7500 0.7500 0.7500  4 Ag 3.11, 4 Pb 3.11



No. 10
AgPbW: relaxed, PBE-GGA.

Output
E_tot = -5.25 eV per atom
energy above the most stable polymorph in this dataset = 0 meV per atom
SG = F-43m, No. 216

Lattice parameters (Å, degrees): 4.6359 4.6359 4.6359 60.00 60.00 60.00
With the nearest neighbours (Å) after each atom.
Fractional positions:
1 Ag 0.2500 0.2500 0.2500  4 W 2.84
2 Pb 0.7500 0.7500 0.7500  4 W 2.84
3 W 0.0000 0.0000 0.0000  4 Pb 2.84, 4 Ag 2.84



No. 11
YAgPb: relaxed, PBE-GGA.

Output
E_tot = -4.52 eV per atom
SG = P-62m, No. 189

Lattice parameters (Å, degrees): 8.5069 8.5069 3.6591 90.00 90.00 120.00
With the nearest neighbours (Å) after each atom.
Fractional positions:
1 Ag 0.6314 0.0000 0.5000  5 Pb 3.14-3.26, 6 Y 3.40-3.41
2 Ag 0.3686 0.3686 0.5000  5 Pb 3.14-3.26, 6 Y 3.40-3.41
3 Ag 0.0000 0.6314 0.5000  5 Pb 3.14-3.26, 6 Y 3.40-3.41
4 Pb 0.6667 0.3333 0.0000  3 Y 3.01, 6 Ag 3.26
5 Pb 0.3333 0.6667 0.0000  3 Y 3.01, 6 Ag 3.26
6 Pb 0.0000 0.0000 0.5000  6 Y 3.10, 3 Ag 3.14
7 Y 0.2945 0.0000 0.0000  4 Pb 3.01-3.10
8 Y 0.0000 0.2945 0.0000  4 Pb 3.01-3.10
9 Y 0.7055 0.7055 0.0000  4 Pb 3.01-3.10



No. 12
Y2Ag2Pb: relaxed, PBE-GGA.

Output
E_tot = -4.52 eV per atom
SG = I4/mmm, No. 139

Lattice parameters (Å, degrees): 7.8896 7.8896 7.8896 149.34 149.34 43.91
With the nearest neighbours (Å) after each atom.
Fractional positions:
1 Ag 0.7500 0.2500 0.5000  4 Ag 2.95, 4 Y 2.97
2 Ag 0.2500 0.7500 0.5000  4 Ag 2.95, 4 Y 2.97
3 Pb 0.0000 0.0000 0.0000  8 Y 3.33
4 Y 0.3944 0.3944 0.0000  4 Ag 2.97, 1 Y 3.09
5 Y 0.6056 0.6056 0.0000  4 Ag 2.97, 1 Y 3.09



Question: The highest E_tot belongs to which entry?
Answer: number 4



Question: Look up the E_tot of the fourth one.
Answer: -3.81 eV per atom



Question: What is the E_tot in the eighth record?
Answer: -4.68 eV per atom